No. 1
BaCa2Mg: optimized geometry, GGA-PBEsol.

Results
Calculated formation energy (eV/atom): -0.007
Crystal system: orthorhombic
SG: Immm, No. 71

Unit cell a=4.056 b=6.276 c=7.343 alpha=115.30 beta=106.03 gamma=90.00
Element x y z (fractional)
Mg: 0.500 0.000 0.000
Ca: 0.785 0.785 0.570
Ca: 0.215 0.215 0.430
Ba: 0.000 0.500 0.000

No. 2
CsOsS2N: optimized geometry, GGA-PBEsol.

Results
Crystal system: tetragonal
ΔE_f (raw) (eV per atom): 0.07
SG: P4/mmm, No. 123

Unit cell a=3.774 b=4.992 c=4.992 alpha=90.00 beta=90.00 gamma=90.00
Element x y z (fractional)
Cs: 0.500 0.500 0.500
S: 0.000 0.000 0.500
S: 0.000 0.500 0.000
Os: 0.000 0.000 0.000
N: 0.500 0.000 0.000

No. 3
BeCdIn3: optimized geometry, GGA-PBEsol.

Results
Calculated formation energy (eV/atom): 0.293
Crystal system: cubic
SG: Pm-3m, No. 221

Unit cell a=4.892 b=4.892 c=4.892 alpha=90.00 beta=90.00 gamma=90.00
Element x y z (fractional)
Be: 0.000 0.000 0.000
Cd: 0.500 0.500 0.500
In: 0.000 0.500 0.000
In: 0.000 0.000 0.500
In: 0.500 0.000 0.000

No. 4
Li2NiGe2: optimized geometry, GGA-PBEsol.

Results
Calculated formation energy (eV/atom): -0.297
Crystal system: tetragonal
SG: P4/mbm, No. 127

Unit cell a=4.071 b=6.062 c=6.062 alpha=90.00 beta=90.00 gamma=90.00
Element x y z (fractional)
Ni: 0.000 0.000 0.000
Ni: 0.000 0.500 0.500
Ge: 0.000 0.355 0.855
Ge: 0.000 0.855 0.645
Ge: 0.000 0.645 0.145
Ge: 0.000 0.145 0.355
Li: 0.500 0.167 0.667
Li: 0.500 0.667 0.833
Li: 0.500 0.833 0.333
Li: 0.500 0.333 0.167

No. 5
LiAgPt2: optimized geometry, GGA-PBEsol.

Results
Calculated formation energy (eV/atom): -0.285
Crystal system: monoclinic
SG: C2/m, No. 12

Unit cell a=2.716 b=4.723 c=5.367 alpha=115.62 beta=103.88 gamma=91.72
Element x y z (fractional)
Pt: 0.000 0.000 0.500
Pt: 0.500 0.500 0.500
Ag: 0.500 0.000 0.000
Li: 0.000 0.500 0.000

No. 6
SrLa2Be: optimized geometry, GGA-PBEsol.

Results
Calculated formation energy (eV/atom): 0.329
Crystal system: monoclinic
SG: Cm, No. 8

Unit cell a=3.808 b=5.439 c=6.772 alpha=113.68 beta=106.33 gamma=90.00
Element x y z (fractional)
Sr: 0.546 0.546 0.093
Be: 0.256 0.758 0.513
La: 0.945 0.944 0.890
La: 0.752 0.252 0.505

No. 7
YMg3: optimized geometry, GGA-PBEsol.

Results
Calculated formation energy (eV/atom): -0.071
Crystal system: cubic
SG: Pm-3m, No. 221

Unit cell a=4.627 b=4.627 c=4.627 alpha=90.00 beta=90.00 gamma=90.00
Element x y z (fractional)
Y: 0.000 0.000 0.000
Mg: 0.000 0.500 0.500
Mg: 0.500 0.000 0.500
Mg: 0.500 0.500 0.000

No. 8
YTaP2: optimized geometry, GGA-PBEsol.

Results
Calculated formation energy (eV/atom): -0.808
Crystal system: orthorhombic
SG: Amm2, No. 38

Unit cell a=3.373 b=4.328 c=4.989 alpha=90.00 beta=109.76 gamma=90.00
Element x y z (fractional)
P: 0.964 0.875 0.929
P: 0.791 0.375 0.583
Ta: 0.506 0.375 0.011
Y: 0.239 0.875 0.477

Computed spin magnetization (μB/f.u.) in order:
0.000; 0.000; 0.000; 0.000; 0.000; 0.001; 0.000; 0.000